1.
The following is a DFT calculation (PBE-GGA) of a geometry-optimized CaNi2Ir2 structure.

Values from the calculation:
As for the crystal system: tetragonal. As for the energy above the lowest structure with this stoichiometry: 1.1 kJ per mole of atoms. The formation enthalpy at 0 K comes out at -1 kJ/mol of formula units. As for the calculated total energy: -6.259 eV/atom.

Geometry as CIF:
```
data_CaNi2Ir2
_chemical_formula_sum 'Ca2 Ni4 Ir4'
_cell_length_a 7.463
_cell_length_b 7.463
_cell_length_c 2.721
_cell_angle_alpha 90.00
_cell_angle_beta 90.00
_cell_angle_gamma 90.00
_symmetry_space_group_name_H-M 'P 4/m b m'
_symmetry_Int_Tables_number 127
_symmetry_space_group_name_Hall '-P 4 2ab'
loop_
_atom_site_label
_atom_site_type_symbol
_atom_site_fract_x
_atom_site_fract_y
_atom_site_fract_z
Ca1 Ca 0.000 0.000 0.000
Ni1 Ni 0.174 0.326 0.500
Ir1 Ir 0.125 0.625 0.000
```

=====

2.
The following is a DFT calculation (PBE-GGA) of a geometry-optimized LiSmTe2O6 structure.

Values from the calculation:
As for the crystal system: monoclinic. Its energy relative to the elements, uncorrected is -1.82 eV/atom. As for the calculated total energy: -6.088 eV/atom.

Geometry as CIF:
```
data_LiSmTe2O6
_chemical_formula_sum 'Li4 Sm4 Te8 O24'
_cell_length_a 11.090
_cell_length_b 9.639
_cell_length_c 6.576
_cell_angle_alpha 90.00
_cell_angle_beta 114.51
_cell_angle_gamma 90.00
_symmetry_space_group_name_H-M 'C 1 2/c 1'
_symmetry_Int_Tables_number 15
_symmetry_space_group_name_Hall '-C 2yc'
loop_
_atom_site_label
_atom_site_type_symbol
_atom_site_fract_x
_atom_site_fract_y
_atom_site_fract_z
Li1 Li 0.000 0.143 0.250
Sm1 Sm 0.000 0.207 0.750
Te1 Te 0.235 0.406 0.335
O1 O 0.133 0.012 0.757
O2 O 0.134 0.237 0.529
O3 O 0.137 0.318 0.057
```

=====

3.
The following is a DFT calculation (PBE-GGA) of a geometry-optimized Ca3C2O8 structure.

Values from the calculation:
As for the crystal system: trigonal. Its energy relative to the elements, uncorrected is -1.93 eV/atom. As for the calculated total energy: -6.864 eV/atom.

Geometry as CIF:
```
data_Ca3C2O8
_chemical_formula_sum 'Ca9 C6 O24'
_cell_length_a 5.0368
_cell_length_b 5.0368
_cell_length_c 18.8886
_cell_angle_alpha 90.00
_cell_angle_beta 90.00
_cell_angle_gamma 120.00
_symmetry_space_group_name_H-M 'R -3 m'
_symmetry_Int_Tables_number 166
_symmetry_space_group_name_Hall '-R 3 2"'
loop_
_atom_site_label
_atom_site_type_symbol
_atom_site_fract_x
_atom_site_fract_y
_atom_site_fract_z
Ca1 Ca 0.0000 0.0000 0.0000
Ca2 Ca 0.0000 0.0000 0.2118
C1 C 0.0000 0.0000 0.4098
O1 O 0.0000 0.0000 0.3356
O2 O 0.0290 0.5145 0.2347
```

=====

4.
The following is a DFT calculation (PBE-GGA) of a geometry-optimized Be2CuOs2 structure.

Values from the calculation:
As for the crystal system: tetragonal. As for the energy above the lowest structure with this stoichiometry: 0.0 kJ per mole of atoms. The formation enthalpy at 0 K comes out at -24 kJ/mol of formula units. As for the calculated total energy: -6.852 eV/atom.

Geometry as CIF:
```
data_Be2CuOs2
_chemical_formula_sum 'Be4 Cu2 Os4'
_cell_length_a 5.820
_cell_length_b 5.820
_cell_length_c 3.226
_cell_angle_alpha 90.00
_cell_angle_beta 90.00
_cell_angle_gamma 90.00
_symmetry_space_group_name_H-M 'P 4/m b m'
_symmetry_Int_Tables_number 127
_symmetry_space_group_name_Hall '-P 4 2ab'
loop_
_atom_site_label
_atom_site_type_symbol
_atom_site_fract_x
_atom_site_fract_y
_atom_site_fract_z
Be1 Be 0.125 0.375 0.000
Cu1 Cu 0.000 0.000 0.000
Os1 Os 0.173 0.673 0.500
```

=====

5.
The following is a DFT calculation (PBE-GGA) of a geometry-optimized TaSi2Pt structure.

Values from the calculation:
As for the crystal system: orthorhombic. Its energy relative to the elements, uncorrected is -0.48 eV/atom. As for the calculated total energy: -7.661 eV/atom.

Geometry as CIF:
```
data_TaSi2Pt
_chemical_formula_sum 'Ta1 Si2 Pt1'
_cell_length_a 2.945
_cell_length_b 3.852
_cell_length_c 5.409
_cell_angle_alpha 90.00
_cell_angle_beta 90.00
_cell_angle_gamma 90.00
_symmetry_space_group_name_H-M 'P m m m'
_symmetry_Int_Tables_number 47
_symmetry_space_group_name_Hall '-P 2 2'
loop_
_atom_site_label
_atom_site_type_symbol
_atom_site_fract_x
_atom_site_fract_y
_atom_site_fract_z
Ta1 Ta 0.000 0.000 0.000
Si1 Si 0.500 0.500 0.230
Pt1 Pt 0.500 0.000 0.500
```

=====

6.
The following is a DFT calculation (PBE-GGA) of a geometry-optimized Cs3HoNp3Se8 structure.

Values from the calculation:
As for the crystal system: trigonal. Its energy relative to the elements, uncorrected is -1.37 eV/atom. As for the calculated total energy: -6.287 eV/atom.

Geometry as CIF:
```
data_Cs3HoNp3Se8
_chemical_formula_sum 'Cs9 Ho3 Np9 Se24'
_cell_length_a 8.4783
_cell_length_b 8.4783
_cell_length_c 25.4855
_cell_angle_alpha 90.00
_cell_angle_beta 90.00
_cell_angle_gamma 120.00
_symmetry_space_group_name_H-M 'R -3 m'
_symmetry_Int_Tables_number 166
_symmetry_space_group_name_Hall '-R 3 2"'
loop_
_atom_site_label
_atom_site_type_symbol
_atom_site_fract_x
_atom_site_fract_y
_atom_site_fract_z
Cs1 Cs 0.0000 0.5000 0.0000
Ho1 Ho 0.0000 0.0000 0.5000
Np1 Np 0.0000 0.5000 0.5000
Se1 Se 0.0000 0.0000 0.2276
Se2 Se 0.0004 0.5002 0.2272
```

=====

7.
The following is a DFT calculation (PBE-GGA) of a geometry-optimized Nd12Cd6Ir structure.

Values from the calculation:
As for the crystal system: trigonal. The formation enthalpy at 0 K comes out at -269 kJ/mol of formula units. As for the calculated total energy: -3.913 eV/atom.

Geometry as CIF:
```
data_Nd12Cd6Ir
_chemical_formula_sum 'Nd36 Cd18 Ir3'
_cell_length_a 12.4824
_cell_length_b 12.4824
_cell_length_c 13.5596
_cell_angle_alpha 90.00
_cell_angle_beta 90.00
_cell_angle_gamma 120.00
_symmetry_space_group_name_H-M 'R -3'
_symmetry_Int_Tables_number 148
_symmetry_space_group_name_Hall '-R 3'
loop_
_atom_site_label
_atom_site_type_symbol
_atom_site_fract_x
_atom_site_fract_y
_atom_site_fract_z
Nd1 Nd 0.0367 0.1886 0.3683
Nd2 Nd 0.0411 0.8504 0.8914
Cd1 Cd 0.0015 0.5996 0.7617
Ir1 Ir 0.0000 0.0000 0.5000
```

=====

8.
The following is a DFT calculation (PBE-GGA) of a geometry-optimized NpSnTe3 structure.

Values from the calculation:
As for the crystal system: monoclinic. As for the energy above the lowest structure with this stoichiometry: 0.0 kJ per mole of atoms. Its energy relative to the elements, uncorrected is -0.43 eV/atom. As for the calculated total energy: -5.704 eV/atom.

Geometry as CIF:
```
data_NpSnTe3
_chemical_formula_sum 'Np2 Sn2 Te6'
_cell_length_a 8.666
_cell_length_b 4.259
_cell_length_c 9.470
_cell_angle_alpha 90.00
_cell_angle_beta 111.37
_cell_angle_gamma 90.00
_symmetry_space_group_name_H-M 'P 1 21/m 1'
_symmetry_Int_Tables_number 11
_symmetry_space_group_name_Hall '-P 2yb'
loop_
_atom_site_label
_atom_site_type_symbol
_atom_site_fract_x
_atom_site_fract_y
_atom_site_fract_z
Np1 Np 0.017 0.250 0.234
Sn1 Sn 0.442 0.750 0.700
Te1 Te 0.152 0.250 0.611
Te2 Te 0.193 0.250 0.995
Te3 Te 0.307 0.750 0.357
```

=====

9.
The following is a DFT calculation (PBE-GGA) of a geometry-optimized Pr4TlSn structure.

Values from the calculation:
As for the crystal system: orthorhombic. The formation enthalpy at 0 K comes out at -144 kJ/mol of formula units. As for the calculated total energy: -4.496 eV/atom.

Geometry as CIF:
```
data_Pr4TlSn
_chemical_formula_sum 'Pr16 Tl4 Sn4'
_cell_length_a 5.798
_cell_length_b 22.329
_cell_length_c 6.618
_cell_angle_alpha 90.00
_cell_angle_beta 90.00
_cell_angle_gamma 90.00
_symmetry_space_group_name_H-M 'C m c m'
_symmetry_Int_Tables_number 63
_symmetry_space_group_name_Hall '-C 2c 2'
loop_
_atom_site_label
_atom_site_type_symbol
_atom_site_fract_x
_atom_site_fract_y
_atom_site_fract_z
Pr1 Pr 0.000 0.065 0.250
Pr2 Pr 0.000 0.211 0.005
Pr3 Pr 0.000 0.375 0.250
Tl1 Tl 0.000 0.075 0.750
Sn1 Sn 0.000 0.344 0.750
```

=====

10.
The following is a DFT calculation (PBE-GGA) of a geometry-optimized ReAgTe2 structure.

Values from the calculation:
As for the crystal system: trigonal. As for the energy above the lowest structure with this stoichiometry: 16.0 kJ per mole of atoms. Its energy relative to the elements, uncorrected is 0.48 eV/atom. As for the calculated total energy: -4.915 eV/atom.

Geometry as CIF:
```
data_ReAgTe2
_chemical_formula_sum 'Re3 Ag3 Te6'
_cell_length_a 3.2187
_cell_length_b 3.2187
_cell_length_c 31.5674
_cell_angle_alpha 90.00
_cell_angle_beta 90.00
_cell_angle_gamma 120.00
_symmetry_space_group_name_H-M 'R 3 m'
_symmetry_Int_Tables_number 160
_symmetry_space_group_name_Hall 'R 3 -2"'
loop_
_atom_site_label
_atom_site_type_symbol
_atom_site_fract_x
_atom_site_fract_y
_atom_site_fract_z
Re1 Re 0.0000 0.0000 0.0000
Ag1 Ag 0.0000 0.0000 0.2616
Te1 Te 0.0000 0.0000 0.5136
Te2 Te 0.0000 0.0000 0.7255
```

=====

Number 1: M_tot 0.000 μB/cell. Number 2: M_tot 0.000 μB/cell. Number 3: M_tot 5.998 μB/cell. Number 4: M_tot 0.000 μB/cell. Number 5: M_tot 0.000 μB/cell. Number 6: M_tot 33.000 μB/cell. Number 7: M_tot 0.000 μB/cell. Number 8: M_tot 6.536 μB/cell. Number 9: M_tot 0.000 μB/cell. Number 10: M_tot 0.000 μB/cell.